Record 1
Here is a relaxed structure of CrNi3Te6 from the Alexandria database. Energies are from PBE.

Cell: 6.1919 6.3463 6.5329 Å, 102.35 105.61 90.80°
Last column: nearest neighbours and their distance in Å.
Space group P-1 (No. 2)
Asymmetric unit:
Cr  0.0000  0.0000  0.0000 [1 per cell]  6 Te 2.68-2.76
Ni  0.0000  0.5000  0.5000 [1 per cell]  4 Te 2.57-2.59
Ni  0.5000  0.0000  0.0000 [1 per cell]  4 Te 2.52-2.59
Ni  0.5000  0.0000  0.5000 [1 per cell]  4 Te 2.50-2.51
Te  0.1020  0.8367  0.3709 [2 per cell]  2 Ni 2.51-2.59, 1 Cr 2.76
Te  0.2408  0.6613  0.8915 [2 per cell]  2 Ni 2.52-2.57, 1 Cr 2.71
Te  0.3457  0.2657  0.2767 [2 per cell]  2 Ni 2.50-2.59, 1 Cr 2.68

Values from the calculation:
**Energy relative to the elements, uncorrected**: -0.044 eV per atom

***

Record 2
Here is a relaxed structure of Rb3Hg7Pt2 from the Alexandria database. Energies are from PBE.

Cell: 5.4106 5.4106 29.0425 Å, 90.00 90.00 90.00°
Last column: nearest neighbours and their distance in Å.
Space group I4/mmm (No. 139)
Asymmetric unit:
Rb  0.0000  0.0000  0.0000 [2 per cell]  12 Hg 3.83-3.85
Rb  0.0000  0.0000  0.1840 [4 per cell]  9 Hg 3.67-3.83
Hg  0.0000  0.0000  0.3104 [4 per cell]  1 Pt 2.77
Hg  0.0000  0.0000  0.5000 [2 per cell]  2 Pt 2.74
Hg  0.0000  0.5000  0.0944 [8 per cell]  2 Pt 2.71
Pt  0.0000  0.0000  0.4058 [4 per cell]  6 Hg 2.71-2.77

Values from the calculation:
**Calculated formation energy**: -3.1 eV per formula unit
**E above lowest polymorph**: 0 meV per atom

***

Record 3
Here is a relaxed structure of LaSbSe2 from the Alexandria database. Energies are from PBE.

Cell: 4.6599 4.6599 21.9999 Å, 90.00 90.00 120.00°
Last column: nearest neighbours and their distance in Å.
Space group R3m (No. 160, hexagonal axes)
Asymmetric unit:
La  0.0000  0.0000  0.0000 [3 per cell]  3 Se 2.95
Sb  0.0000  0.0000  0.2293 [3 per cell]  3 Se 2.75
Se  0.0000  0.0000  0.5378 [3 per cell]  3 Sb 2.75
Se  0.0000  0.0000  0.7211 [3 per cell]  3 La 2.95

Values from the calculation:
**Energy relative to the elements, uncorrected**: -0.850 eV per atom
**E above lowest polymorph**: 278 meV per atom

***

Record 4
Here is a relaxed structure of Ca2MgIr from the Alexandria database. Energies are from PBE.

Cell: 3.3756 5.1274 12.0443 Å, 90.00 90.00 90.00°
Last column: nearest neighbours and their distance in Å.
Space group Imm2 (No. 44)
Asymmetric unit:
Ca  0.0000  0.0000  0.0000 [2 per cell]  2 Ir 2.89
Ca  0.0000  0.5000  0.1896 [2 per cell]  4 Ir 3.07, 2 Mg 3.32, 4 Ca 3.38-3.43
Mg  0.0000  0.0000  0.3652 [2 per cell]  2 Ir 2.65
Ir  0.0000  0.5000  0.6953 [2 per cell]  2 Mg 2.65, 2 Ca 2.89

Values from the calculation:
**Calculated formation energy**: -0.8 eV per formula unit

***

Record 5
Here is a relaxed structure of Hg3SeF5 from the Alexandria database. Energies are from PBE.

Cell: 10.9263 7.9692 9.5836 Å, 90.00 115.91 90.00°
Last column: nearest neighbours and their distance in Å.
Space group C2/m (No. 12)
Asymmetric unit:
Hg  0.0000  0.0000  0.0000 [2 per cell]  4 F 2.28
Hg  0.0000  0.0000  0.5000 [2 per cell]  4 F 2.52-2.53, 2 Se 2.57
Hg  0.1337  0.5000  0.2066 [4 per cell]  1 F 2.11
Hg  0.1721  0.5000  0.6578 [4 per cell]  6 F 2.27-2.42
Se  0.1376  0.0000  0.7969 [4 per cell]  2 Hg 2.51-2.57
F  0.0000  0.3165  0.5000 [4 per cell]  3 Hg 2.34-2.52
F  0.0734  0.5000  0.8396 [4 per cell]  1 Hg 2.11
F  0.1567  0.1822  0.1675 [8 per cell]  2 Hg 2.28-2.38
F  0.2372  0.0000  0.5151 [4 per cell]  3 Hg 2.27-2.53

Values from the calculation:
**Energy relative to the elements, uncorrected**: -1.095 eV per atom

***

Record 6
Here is a relaxed structure of Na3TeP from the Alexandria database. Energies are from PBE.

Cell: 5.8152 5.8152 5.8152 Å, 90.00 90.00 90.00°
Last column: nearest neighbours and their distance in Å.
Space group Pm-3m (No. 221)
Asymmetric unit:
Na  0.0000  0.0000  0.5000 [3 per cell]  2 Te 2.91
Te  0.0000  0.0000  0.0000 [1 per cell]  6 Na 2.91
P  0.5000  0.5000  0.5000 [1 per cell]  12 Na 4.11

Values from the calculation:
**Energy relative to the elements, uncorrected**: -0.034 eV per atom
**E above lowest polymorph**: 113 meV per atom

***

Record 7
Here is a relaxed structure of Ti2MnAs4 from the Alexandria database. Energies are from PBE.

Cell: 13.0302 3.5266 6.1759 Å, 90.00 117.55 90.00°
Last column: nearest neighbours and their distance in Å.
Space group C2/m (No. 12)
Asymmetric unit:
Ti  0.2494  0.0000  0.2541 [4 per cell]  6 As 2.56-2.64
Mn  0.0000  0.5000  0.5000 [2 per cell]  6 As 2.43-2.45
As  0.1105  0.0000  0.7899 [4 per cell]  2 Mn 2.45, 3 Ti 2.59-2.64
As  0.1135  0.5000  0.2799 [4 per cell]  1 Mn 2.43, 3 Ti 2.56-2.59

Values from the calculation:
**Calculated formation energy**: -3.6 eV per formula unit

***

Record 8
Here is a relaxed structure of Y2Zn5Au5 from the Alexandria database. Energies are from PBE.

Cell: 4.5344 5.2760 9.4525 Å, 90.00 90.00 90.00°
Last column: nearest neighbours and their distance in Å.
Space group Pmmm (No. 47)
Asymmetric unit:
Y  0.0000  0.0000  0.0000 [1 per cell]  10 Au 3.14-3.48
Y  0.0000  0.5000  0.5000 [1 per cell]  6 Au 3.03-3.07
Zn  0.5000  0.0000  0.5000 [1 per cell]  4 Zn 2.68, 4 Au 2.76
Zn  0.5000  0.2498  0.2530 [4 per cell]  3 Zn 2.64-2.68, 5 Au 2.71-2.73
Au  0.0000  0.0000  0.3344 [2 per cell]  6 Zn 2.73-2.76, 2 Au 3.02
Au  0.0000  0.5000  0.1798 [2 per cell]  4 Zn 2.71, 4 Au 2.83-3.02, 1 Y 3.03
Au  0.5000  0.5000  0.0000 [1 per cell]  4 Zn 2.73, 4 Au 2.83

Values from the calculation:
**Calculated formation energy**: -5.8 eV per formula unit

***

Record 9
Here is a relaxed structure of HfPN2 from the Alexandria database. Energies are from PBE.

Cell: 2.8312 2.8312 19.1910 Å, 90.00 90.00 120.00°
Last column: nearest neighbours and their distance in Å.
Space group R-3m (No. 166, hexagonal axes)
Asymmetric unit:
Hf  0.0000  0.0000  0.0000 [3 per cell]  2 N 2.25
P  0.0000  0.0000  0.5000 [3 per cell]  6 N 1.89
N  0.0000  0.0000  0.1170 [6 per cell]  3 P 1.89

Values from the calculation:
**Energy relative to the elements, uncorrected**: 0.040 eV per atom

***

Record 10
Here is a relaxed structure of CeThSnTe from the Alexandria database. Energies are from PBE.

Cell: 4.5155 4.5155 6.3635 Å, 90.00 90.00 90.00°
Last column: nearest neighbours and their distance in Å.
Space group P4/mmm (No. 123)
Asymmetric unit:
Ce  0.0000  0.0000  0.0000 [1 per cell]  2 Sn 3.18, 4 Te 3.19
Th  0.5000  0.5000  0.5000 [1 per cell]  2 Te 3.18, 4 Sn 3.19
Sn  0.0000  0.0000  0.5000 [1 per cell]  2 Ce 3.18, 4 Th 3.19
Te  0.5000  0.5000  0.0000 [1 per cell]  2 Th 3.18, 4 Ce 3.19

Values from the calculation:
**Energy relative to the elements, uncorrected**: -0.928 eV per atom
**E above lowest polymorph**: 0 meV per atom

***

Record 11
Here is a relaxed structure of BeSbH from the Alexandria database. Energies are from PBE.

Cell: 4.8655 4.1656 6.3018 Å, 90.00 97.01 90.00°
Last column: nearest neighbours and their distance in Å.
Space group Pm (No. 6)
Asymmetric unit:
Be  0.0000  0.2500  0.0000 [2 per cell]  2 H 1.45
Sb  0.2394  0.0000  0.3398 [1 per cell]  2 Be 2.53
Sb  0.8063  0.5000  0.3144 [1 per cell]  2 Be 2.52
H  0.1302  0.5000  0.8859 [1 per cell]  2 Be 1.45
H  0.8554  0.0000  0.8694 [1 per cell]  2 Be 1.45

Values from the calculation:
**E above lowest polymorph**: 47 meV per atom

***

Record 12
Here is a relaxed structure of Sm2Th2Tl7 from the Alexandria database. Energies are from PBE.

Cell: 8.6349 10.9561 7.8297 Å, 90.00 90.00 90.00°
Last column: nearest neighbours and their distance in Å.
Space group Cmmm (No. 65)
Asymmetric unit:
Sm  0.1847  0.0000  0.0000 [4 per cell]  6 Tl 3.13-3.21, 1 Sm 3.19
Th  0.0000  0.3030  0.5000 [4 per cell]  7 Tl 3.21-3.32
Tl  0.0000  0.0000  0.5000 [2 per cell]  2 Th 3.32
Tl  0.0000  0.5000  0.1972 [4 per cell]  1 Tl 3.09, 2 Sm 3.13, 2 Th 3.21
Tl  0.2500  0.2500  0.2023 [8 per cell]  3 Tl 3.17-3.49, 2 Sm 3.21, 2 Th 3.23

Values from the calculation:
**Calculated formation energy**: 2.1 eV per formula unit

***

What did the eighth record say?
Here is a relaxed structure of Y2Zn5Au5 from the Alexandria database. Energies are from PBE.

Cell: 4.5344 5.2760 9.4525 Å, 90.00 90.00 90.00°
Last column: nearest neighbours and their distance in Å.
Space group Pmmm (No. 47)
Asymmetric unit:
Y  0.0000  0.0000  0.0000 [1 per cell]  10 Au 3.14-3.48
Y  0.0000  0.5000  0.5000 [1 per cell]  6 Au 3.03-3.07
Zn  0.5000  0.0000  0.5000 [1 per cell]  4 Zn 2.68, 4 Au 2.76
Zn  0.5000  0.2498  0.2530 [4 per cell]  3 Zn 2.64-2.68, 5 Au 2.71-2.73
Au  0.0000  0.0000  0.3344 [2 per cell]  6 Zn 2.73-2.76, 2 Au 3.02
Au  0.0000  0.5000  0.1798 [2 per cell]  4 Zn 2.71, 4 Au 2.83-3.02, 1 Y 3.03
Au  0.5000  0.5000  0.0000 [1 per cell]  4 Zn 2.73, 4 Au 2.83

Values from the calculation:
**Calculated formation energy**: -5.8 eV per formula unit